Compound: Th7Tl2Bi2
Source: the Alexandria database
Functional: PBE
Structure: optimized geometry

Cell lengths 6.658, 9.448, 6.658 Å; angles 89.45, 116.77, 90.55 degrees
Element x y z (fractional)
1 Th 0.001 0.298 0.505
2 Th 0.999 0.702 0.495
3 Th 0.501 0.243 0.499
4 Th 0.495 0.298 0.999
5 Th 0.000 0.000 0.000
6 Th 0.505 0.702 0.001
7 Th 0.499 0.757 0.501
8 Tl 0.205 0.500 0.205
9 Tl 0.795 0.500 0.795
10 Bi 0.300 0.000 0.700
11 Bi 0.700 0.000 0.300

The raw total energy comes out at -62.459 eV/cell. The calculation puts the magnetization at 0.0 Bohr magnetons per cell. The value obtained for the formation energy is 17.3 kJ per mole of atoms. As for the symmetry: No. 12.